No. 1
A relaxed SrMgAs2 crystal. Source: Alexandria via LeMat-Bulk, functional PBE.

Summary:
SG	P4mm, No. 99
formation energy	-36.0	kJ/mol of atoms
VASP energy	-3.517	eV per atom

Cell lengths 4.2450, 4.2450, 6.0435 Å; angles 90.00, 90.00, 90.00 degrees
Sites, in units of the cell vectors:
As 0.0000 0.0000 0.9119
As 0.5000 0.5000 0.3568
Mg 0.0000 0.0000 0.3772
Sr 0.5000 0.5000 0.8541

No. 2
A relaxed SrMgAs2 crystal. Source: Alexandria via LeMat-Bulk, functional PBE.

Summary:
SG	Cmmm, No. 65
formation energy	-47.4	kJ/mol of atoms
VASP energy	-3.636	eV per atom

Cell lengths 3.4577, 3.4577, 7.8635 Å; angles 90.00, 90.00, 93.80 degrees
Sites, in units of the cell vectors:
As 0.0000 0.0000 0.0296
As 0.0000 0.0000 0.4704
Mg 0.5000 0.5000 0.2500
Sr 0.5000 0.5000 0.7500

No. 3
A relaxed SrMg2As2 crystal. Source: Alexandria via LeMat-Bulk, functional PBE.

Summary:
SG	P4/mbm, No. 127
formation energy	-47.1	kJ/mol of atoms
VASP energy	-3.322	eV per atom

Cell lengths 8.1599, 8.1599, 3.5700 Å; angles 90.00, 90.00, 90.00 degrees
Sites, in units of the cell vectors:
Sr 0.0000 0.0000 0.0000
Sr 0.5000 0.5000 0.0000
As 0.3398 0.8398 0.0000
As 0.8398 0.6602 0.0000
As 0.6602 0.1602 0.0000
As 0.1602 0.3398 0.0000
Mg 0.1330 0.6330 0.5000
Mg 0.6330 0.8670 0.5000
Mg 0.8670 0.3670 0.5000
Mg 0.3670 0.1330 0.5000

No. 4
A relaxed SrMgAs2 crystal. Source: Alexandria via LeMat-Bulk, functional PBE.

Summary:
SG	I-42d, No. 122
formation energy	-51.4	kJ/mol of atoms
VASP energy	-3.677	eV per atom

Cell lengths 5.4155, 5.4155, 9.1806 Å; angles 72.85, 72.85, 90.00 degrees
Sites, in units of the cell vectors:
Sr 0.0000 0.0000 0.0000
Sr 0.7500 0.2500 0.5000
As 0.4617 0.1250 0.2500
As 0.2883 0.6250 0.2500
As 0.3750 0.5383 0.7500
As 0.8750 0.7117 0.7500
Mg 0.5000 0.5000 0.0000
Mg 0.2500 0.7500 0.5000